Record 1
# HgAuSe2

HgAuSe2 after structural relaxation (GGA-PBE, Alexandria).

Properties
Symmetry   R-3m (166)

Cell lengths 7.0953, 7.0953, 7.0953 Å; angles 32.42, 32.42, 32.42 degrees
Atoms (fractional coordinates):
Hg  0.0000  0.0000  0.0000
Au  0.5000  0.5000  0.5000
Se  0.2388  0.2388  0.2388
Se  0.7612  0.7612  0.7612


Record 2
# Na4YNp3Te8

Na4YNp3Te8 after structural relaxation (GGA-PBE, Alexandria).

Properties
Symmetry   C2/m (12)

Cell lengths 8.9605, 8.9605, 9.1281 Å; angles 119.45, 119.45, 59.93 degrees
Atoms (fractional coordinates):
Na  0.0000  0.0000  0.0000
Na  0.0000  0.5000  0.0000
Na  0.5000  0.0000  0.0000
Na  0.5000  0.5000  0.0000
Y  0.0000  0.0000  0.5000
Np  0.0000  0.5000  0.5000
Np  0.5000  0.0000  0.5000
Np  0.5000  0.5000  0.5000
Te  0.2432  0.2432  0.7341
Te  0.2434  0.7477  0.7343
Te  0.2523  0.7566  0.2657
Te  0.2556  0.2556  0.2667
Te  0.7444  0.7444  0.7333
Te  0.7477  0.2434  0.7343
Te  0.7566  0.2523  0.2657
Te  0.7568  0.7568  0.2659


Per-record size of the total moment, μB per atom: 0.000 0.750
Per-record uncorrected energy, eV/atom: -2.63 -5.67